Li3V5F12: optimized geometry, PBE+U.

```
data_Li3V5F12
_cell_length_a 13.2054
_cell_length_b 13.2054
_cell_length_c 13.2054
_cell_angle_alpha 90.00
_cell_angle_beta 90.00
_cell_angle_gamma 90.00
_space_group_name_H-M_alt 'I a -3 d'
_space_group_IT_number 230
_space_group_name_Hall '-I 4bd 2c 3'
loop_
_atom_site_label
_atom_site_fract_x
_atom_site_fract_y
_atom_site_fract_z
Li1 0.0000 0.2500 0.1250
V1 0.0000 0.0000 0.0000
V2 0.0000 0.2500 0.3750
F1 0.0051 0.0121 0.3417
```

total energy	-5.6746	eV per atom